Record 1
A geometry-optimized TbAlCd2 structure. Source: Alexandria, functional PBE.

Cell lengths 5.0339, 5.0339, 5.0339 Å; angles 60.00, 60.00, 60.00 degrees
With the nearest neighbours (Å) after each atom.
Sites, in units of the cell vectors:
Tb: 0.0000 0.0000 0.0000  8 Cd 3.08
Al: 0.5000 0.5000 0.5000  8 Cd 3.08
Cd: 0.2500 0.2500 0.2500  4 Tb 3.08, 4 Al 3.08
Cd: 0.7500 0.7500 0.7500  4 Al 3.08, 4 Tb 3.08

Summary:
V	22.55	A^3/atom



Record 2
A geometry-optimized Tb3AlCd2 structure. Source: Alexandria, functional PBE.

Cell lengths 5.2504, 5.2504, 6.4559 Å; angles 90.00, 90.00, 120.00 degrees
With the nearest neighbours (Å) after each atom.
Sites, in units of the cell vectors:
Tb: 0.0000 0.0000 0.5000  6 Cd 3.20, 2 Al 3.23
Tb: 0.6667 0.3333 0.8416  3 Al 3.20, 5 Cd 3.23-3.25
Tb: 0.3333 0.6667 0.1584  3 Al 3.20, 5 Cd 3.23-3.25
Al: 0.0000 0.0000 0.0000  8 Tb 3.20-3.23
Cd: 0.6667 0.3333 0.3411  8 Tb 3.20-3.25
Cd: 0.3333 0.6667 0.6589  8 Tb 3.20-3.25

Summary:
V	25.69	A^3/atom



Record 3
A geometry-optimized Tb7Al4Cd structure. Source: Alexandria, functional PBE.

Cell lengths 5.6700, 8.9823, 7.5069 Å; angles 67.41, 67.81, 71.60 degrees
With the nearest neighbours (Å) after each atom.
Sites, in units of the cell vectors:
Tb: 0.8123 0.8680 0.5074  3 Al 3.28-3.58, 1 Cd 3.36, 7 Tb 3.43-3.67
Tb: 0.1877 0.1320 0.4926  3 Al 3.28-3.58, 1 Cd 3.36, 7 Tb 3.43-3.67
Tb: 0.0827 0.5790 0.2556  5 Al 3.02-3.34, 2 Tb 3.18-3.26
Tb: 0.9173 0.4210 0.7444  5 Al 3.02-3.34, 2 Tb 3.18-3.26
Tb: 0.2566 0.7101 0.7766  4 Al 2.92-3.16, 1 Tb 3.18
Tb: 0.5000 0.0000 0.0000  2 Cd 2.83, 2 Al 2.92
Tb: 0.7434 0.2899 0.2234  4 Al 2.92-3.16, 1 Tb 3.18
Al: 0.5205 0.3356 0.6234  2 Al 2.71-2.81, 1 Tb 2.92
Al: 0.4795 0.6644 0.3766  2 Al 2.71-2.81, 1 Tb 2.92
Al: 0.6756 0.6602 0.9886  1 Al 2.71, 2 Tb 2.92-3.02
Al: 0.3244 0.3398 0.0114  1 Al 2.71, 2 Tb 2.92-3.02
Cd: 0.0000 0.0000 0.0000  2 Tb 2.83

Summary:
V	26.69	A^3/atom



Record 4
A geometry-optimized Tb3AlCd2 structure. Source: Alexandria, functional PBE.

Cell lengths 3.6802, 3.6802, 11.3416 Å; angles 90.00, 90.00, 90.00 degrees
With the nearest neighbours (Å) after each atom.
Sites, in units of the cell vectors:
Tb: 0.0000 0.0000 0.0000  8 Cd 3.24
Tb: 0.0000 0.0000 0.6568  4 Al 3.15, 4 Cd 3.26
Tb: 0.0000 0.0000 0.3432  4 Al 3.15, 4 Cd 3.26
Al: 0.5000 0.5000 0.5000  8 Tb 3.15
Cd: 0.5000 0.5000 0.8296  8 Tb 3.24-3.26
Cd: 0.5000 0.5000 0.1704  8 Tb 3.24-3.26

Summary:
V	25.60	A^3/atom



Record 5
A geometry-optimized TbAlCd11 structure. Source: Alexandria, functional PBE.

Cell lengths 5.8929, 7.5682, 7.6442 Å; angles 81.52, 67.33, 67.50 degrees
With the nearest neighbours (Å) after each atom.
Sites, in units of the cell vectors:
Tb: 0.0000 0.0000 0.0000  18 Cd 3.48-3.82, 2 Al 3.80
Al: 0.5000 0.5000 0.0000  10 Cd 2.87-3.03
Cd: 0.2933 0.2133 0.2097  1 Al 2.87, 7 Cd 2.92-3.20
Cd: 0.7067 0.7867 0.7903  1 Al 2.87, 7 Cd 2.92-3.20
Cd: 0.4970 0.7867 0.2097  1 Al 2.87, 7 Cd 2.92-3.20
Cd: 0.5030 0.2133 0.7903  1 Al 2.87, 7 Cd 2.92-3.20
Cd: 0.3547 0.6464 0.6530  8 Cd 2.98-3.31, 1 Al 3.03
Cd: 0.6453 0.3536 0.3470  8 Cd 2.98-3.31, 1 Al 3.03
Cd: 0.9924 0.3536 0.6530  8 Cd 2.98-3.31, 1 Al 3.03
Cd: 0.0076 0.6464 0.3470  8 Cd 2.98-3.31, 1 Al 3.03
Cd: 0.0000 0.5000 0.0000  8 Cd 2.92-3.04, 2 Al 2.95
Cd: 0.5000 0.0000 0.5000  10 Cd 2.92-3.09
Cd: 0.0000 0.0000 0.5000  10 Cd 2.92-3.09

Summary:
V	22.36	A^3/atom



Record 6
A geometry-optimized Tb6Al5Cd structure. Source: Alexandria, functional PBE.

Cell lengths 5.1681, 7.2405, 8.1723 Å; angles 90.00, 71.57, 90.00 degrees
With the nearest neighbours (Å) after each atom.
Sites, in units of the cell vectors:
Tb: 0.8313 0.7487 0.3373  7 Al 3.14-3.18, 1 Cd 3.19
Tb: 0.8313 0.2513 0.3373  7 Al 3.14-3.18, 1 Cd 3.19
Tb: 0.5000 0.2537 0.0000  6 Al 3.13-3.14, 2 Cd 3.17
Tb: 0.5000 0.7463 0.0000  6 Al 3.13-3.14, 2 Cd 3.17
Tb: 0.1687 0.7487 0.6627  7 Al 3.14-3.18, 1 Cd 3.19
Tb: 0.1687 0.2513 0.6627  7 Al 3.14-3.18, 1 Cd 3.19
Al: 0.6658 0.5000 0.6684  8 Tb 3.13-3.15
Al: 0.3362 0.0000 0.3276  8 Tb 3.13-3.17
Al: 0.0000 0.5000 0.0000  8 Tb 3.14-3.18
Al: 0.6638 0.0000 0.6724  8 Tb 3.13-3.17
Al: 0.3342 0.5000 0.3316  8 Tb 3.13-3.15
Cd: 0.0000 0.0000 0.0000  8 Tb 3.17-3.19

Summary:
V	24.18	A^3/atom



Record 7
A geometry-optimized Tb12AlCd3 structure. Source: Alexandria, functional PBE.

Cell lengths 4.8399, 4.8399, 19.3247 Å; angles 90.00, 90.00, 90.00 degrees
With the nearest neighbours (Å) after each atom.
Sites, in units of the cell vectors:
Tb: 0.5000 0.5000 0.0000  8 Tb 3.36, 4 Al 3.42
Tb: 0.5000 0.5000 0.2487  4 Cd 3.42, 8 Tb 3.43-3.46
Tb: 0.5000 0.5000 0.5000  4 Cd 3.42, 8 Tb 3.43
Tb: 0.5000 0.5000 0.7513  4 Cd 3.42, 8 Tb 3.43-3.46
Tb: 0.5000 0.0000 0.1210  8 Tb 3.36-3.46, 2 Al 3.36, 2 Cd 3.45
Tb: 0.5000 0.0000 0.3743  8 Tb 3.42-3.43, 4 Cd 3.43-3.44
Tb: 0.5000 0.0000 0.6258  8 Tb 3.42-3.43, 4 Cd 3.43-3.44
Tb: 0.5000 0.0000 0.8790  8 Tb 3.36-3.46, 2 Al 3.36, 2 Cd 3.45
Tb: 0.0000 0.5000 0.1210  8 Tb 3.36-3.46, 2 Al 3.36, 2 Cd 3.45
Tb: 0.0000 0.5000 0.3743  8 Tb 3.42-3.43, 4 Cd 3.43-3.44
Tb: 0.0000 0.5000 0.6258  8 Tb 3.42-3.43, 4 Cd 3.43-3.44
Tb: 0.0000 0.5000 0.8790  8 Tb 3.36-3.46, 2 Al 3.36, 2 Cd 3.45
Al: 0.0000 0.0000 0.0000  12 Tb 3.36-3.42
Cd: 0.0000 0.0000 0.2480  12 Tb 3.42-3.45
Cd: 0.0000 0.0000 0.5000  12 Tb 3.42-3.43
Cd: 0.0000 0.0000 0.7520  12 Tb 3.42-3.45

Summary:
V	28.29	A^3/atom



Record 8
A geometry-optimized Tb3Al3Cd structure. Source: Alexandria, functional PBE.

Cell lengths 4.5655, 6.0019, 13.8235 Å; angles 83.31, 80.49, 67.65 degrees
With the nearest neighbours (Å) after each atom.
Sites, in units of the cell vectors:
Tb: 0.5308 0.3159 0.6226  6 Al 3.13-3.27, 4 Cd 3.24-3.41
Tb: 0.4692 0.6841 0.3774  6 Al 3.13-3.27, 4 Cd 3.24-3.41
Tb: 0.2628 0.2578 0.2166  6 Al 3.10-3.29, 2 Cd 3.42
Tb: 0.7372 0.7422 0.7834  6 Al 3.10-3.29, 2 Cd 3.42
Tb: 0.3982 0.2823 0.9213  7 Al 3.14-3.29
Tb: 0.6018 0.7177 0.0787  7 Al 3.14-3.29
Al: 0.8774 0.6966 0.5485  1 Al 2.62, 2 Cd 2.70
Al: 0.1226 0.3034 0.4515  1 Al 2.62, 2 Cd 2.70
Al: 0.1089 0.8547 0.9275  2 Al 2.62-2.68
Al: 0.8911 0.1453 0.0725  2 Al 2.62-2.68
Al: 0.9706 0.8300 0.2288  1 Al 2.68, 1 Cd 2.77
Al: 0.0294 0.1700 0.7712  1 Al 2.68, 1 Cd 2.77
Cd: 0.7561 0.0930 0.3949  4 Al 2.70-2.95
Cd: 0.2439 0.9070 0.6051  4 Al 2.70-2.95

Summary:
V	24.64	A^3/atom



Record 9
A geometry-optimized TbAlCd structure. Source: Alexandria, functional PBE.

Cell lengths 4.6869, 5.9470, 5.9481 Å; angles 75.34, 66.80, 66.79 degrees
With the nearest neighbours (Å) after each atom.
Sites, in units of the cell vectors:
Tb: 0.5272 0.2218 0.7238  6 Cd 3.21-3.38, 6 Al 3.24-3.42
Tb: 0.4728 0.7782 0.2762  6 Cd 3.21-3.38, 6 Al 3.24-3.42
Al: 0.1585 0.3664 0.3167  1 Al 2.61, 2 Cd 2.73
Al: 0.8415 0.6336 0.6833  1 Al 2.61, 2 Cd 2.73
Cd: 0.8290 0.2160 0.1261  2 Al 2.73, 1 Cd 2.87
Cd: 0.1710 0.7840 0.8739  2 Al 2.73, 1 Cd 2.87

Summary:
V	23.19	A^3/atom



Record 10
A geometry-optimized Tb7Al2Cd2 structure. Source: Alexandria, functional PBE.

Cell lengths 6.7316, 7.8840, 6.7316 Å; angles 90.00, 112.63, 90.00 degrees
With the nearest neighbours (Å) after each atom.
Sites, in units of the cell vectors:
Tb: 0.0000 0.2841 0.5000  2 Al 2.95
Tb: 0.5000 0.7159 0.0000  2 Al 2.95
Tb: 0.0000 0.7159 0.5000  2 Al 2.95
Tb: 0.5000 0.2841 0.0000  2 Al 2.95
Tb: 0.0000 0.0000 0.0000  2 Al 3.23
Tb: 0.5000 0.7577 0.5000  2 Al 3.05, 2 Cd 3.12, 4 Tb 3.38
Tb: 0.5000 0.2423 0.5000  2 Al 3.05, 2 Cd 3.12, 4 Tb 3.38
Al: 0.7117 0.0000 0.2883  7 Tb 2.95-3.23
Al: 0.2883 0.0000 0.7117  7 Tb 2.95-3.23
Cd: 0.8171 0.5000 0.8171  1 Cd 2.73
Cd: 0.1829 0.5000 0.1829  1 Cd 2.73

Summary:
V	29.98	A^3/atom



Record 11
A geometry-optimized Tb4Al3Cd structure. Source: Alexandria, functional PBE.

Cell lengths 3.7078, 4.5891, 11.8679 Å; angles 90.00, 90.00, 90.00 degrees
With the nearest neighbours (Å) after each atom.
Sites, in units of the cell vectors:
Tb: 0.5000 0.5000 0.3479  6 Al 3.12-3.20, 1 Cd 3.33
Tb: 0.0000 0.5000 0.8398  5 Al 3.13-3.23, 2 Cd 3.28
Tb: 0.0000 0.0000 0.1599  4 Cd 3.15, 3 Al 3.25-3.32
Tb: 0.5000 0.0000 0.6550  7 Al 3.13-3.24
Al: 0.0000 0.5000 0.5680  2 Al 2.80, 4 Tb 3.13
Al: 0.0000 0.0000 0.4335  2 Al 2.80, 4 Tb 3.12
Al: 0.5000 0.0000 0.9282  2 Cd 2.83, 4 Tb 3.13
Cd: 0.5000 0.5000 0.0676  2 Al 2.83, 4 Tb 3.15

Summary:
V	25.24	A^3/atom



Record 12
A geometry-optimized Tb4AlCd structure. Source: Alexandria, functional PBE.

Cell lengths 3.5130, 7.1092, 8.7098 Å; angles 120.86, 78.37, 75.70 degrees
With the nearest neighbours (Å) after each atom.
Sites, in units of the cell vectors:
Tb: 0.8330 0.5137 0.8204  2 Al 3.20, 2 Cd 3.25, 3 Tb 3.46-3.51
Tb: 0.3188 0.0297 0.3328  2 Al 3.18, 2 Cd 3.24, 3 Tb 3.46-3.51
Tb: 0.1670 0.4863 0.1796  2 Al 3.20, 2 Cd 3.25, 3 Tb 3.46-3.51
Tb: 0.6812 0.9703 0.6672  2 Al 3.18, 2 Cd 3.24, 3 Tb 3.46-3.51
Al: 0.5000 0.5000 0.5000  8 Tb 3.18-3.20, 2 Al 3.51, 2 Cd 3.55
Cd: 0.0000 0.0000 0.0000  8 Tb 3.24-3.25, 2 Cd 3.51, 2 Al 3.55

Summary:
V	27.71	A^3/atom



Result set for energy: -2.7255, -3.5814, -4.1439, -3.5889, -1.4748, -4.3366, -3.9922, -4.1004, -3.4804, -3.7940, -4.1718, -4.0672 eV/atom, one per record in the order listed.